Material: CaZr2Te
Method: DFT, PBE-GGA
State: relaxed

Summary:
VASP energy = -5.68 eV per atom

The structure in CIF format:
```
data_CaZr2Te
_cell_length_a 3.6094
_cell_length_b 5.5328
_cell_length_c 5.2880
_cell_angle_alpha 90.00
_cell_angle_beta 95.01
_cell_angle_gamma 90.00
_symmetry_space_group_name_H-M 'P 1 2/m 1'
_symmetry_Int_Tables_number 10
loop_
_symmetry_equiv_pos_as_xyz
'x,y,z'
'-x,-y,-z'
'-x,y,-z'
'x,-y,z'
loop_
_atom_site_label
_atom_site_type_symbol
_atom_site_fract_x
_atom_site_fract_y
_atom_site_fract_z
Ca1 Ca 0.0000 0.0000 0.0000
Zr1 Zr 0.3533 0.5000 0.7450
Te1 Te 0.5000 0.0000 0.5000
```